# Tm4RhAu | Alexandria | PBE | relaxed
# - N(E_F) (states/eV/cell) = 12.867
# - E_form (eV per formula unit) = -3.37
# - polymorph energy (0 for the lowest one) (meV per atom) = 68
data_Tm4RhAu
_cell_length_a 6.8325
_cell_length_b 6.8326
_cell_length_c 6.8101
_cell_angle_alpha 90.00
_cell_angle_beta 90.09
_cell_angle_gamma 90.00
_symmetry_space_group_name_H-M 'C 1 2/m 1'
_symmetry_Int_Tables_number 12
_symmetry_space_group_name_Hall '-C 2y'
loop_
_atom_site_label
_atom_site_type_symbol
_atom_site_fract_x
_atom_site_fract_y
_atom_site_fract_z
Tm1 Tm 0.2496 0.2502 0.2419
Rh1 Rh 0.0000 0.0000 0.0000
Au1 Au 0.0000 0.5000 0.5000

=====

# NiHg2H | Alexandria | PBE | relaxed
# - N(E_F) (states/eV/cell) = 7.687
# - polymorph energy (0 for the lowest one) (meV per atom) = 145
data_NiHg2H
_cell_length_a 6.3131
_cell_length_b 6.3131
_cell_length_c 6.3131
_cell_angle_alpha 90.00
_cell_angle_beta 90.00
_cell_angle_gamma 90.00
_symmetry_space_group_name_H-M 'F m -3 m'
_symmetry_Int_Tables_number 225
_symmetry_space_group_name_Hall '-F 4 2 3'
loop_
_atom_site_label
_atom_site_type_symbol
_atom_site_fract_x
_atom_site_fract_y
_atom_site_fract_z
Ni1 Ni 0.0000 0.0000 0.0000
Hg1 Hg 0.2500 0.2500 0.2500
H1 H 0.0000 0.0000 0.5000

=====

Question: Which formula does entry 2 have?
Answer: NiHg2H